Model w:
! IrPtCl2 meta-GGA SCAN PBEsol geometry; values from VASP
&SYSTEM
  ibrav = 0, nat = 4, ntyp = 3
/
ATOMIC_SPECIES
Ir 192.22 Ir.upf
Pt 195.08 Pt.upf
Cl 35.45 Cl.upf
ATOMIC_POSITIONS crystal
Ir 0.000 0.000 0.000
Pt 0.500 0.000 0.500
Cl 0.000 0.500 0.500
Cl 0.500 0.500 0.000
CELL_PARAMETERS angstrom
2.837 0.000 0.000
0.000 4.153 0.000
0.000 0.000 5.269
! - SG: Pmmm, No. 47
! - Magnetization: 0.000 μB/atom

***

Model x:
! IrPtCl2 meta-GGA SCAN PBEsol geometry; values from VASP
&SYSTEM
  ibrav = 0, nat = 4, ntyp = 3
/
ATOMIC_SPECIES
Ir 192.22 Ir.upf
Pt 195.08 Pt.upf
Cl 35.45 Cl.upf
ATOMIC_POSITIONS crystal
Ir 0.000 0.000 0.000
Pt 0.500 0.500 0.500
Cl 0.351 0.351 0.792
Cl 0.649 0.649 0.208
CELL_PARAMETERS angstrom
5.285 -1.673 0.000
5.285 1.673 0.000
-1.041 0.000 4.440
! - SG: C2/m, No. 12
! - Magnetization: 0.000 μB/atom

***

The relative energies come out as model w 40.5; model x 0.0, with values in kJ/mol of atoms.

***

Model w:
! Sb2Br meta-GGA SCAN PBEsol geometry; values from VASP
&SYSTEM
  ibrav = 0, nat = 6, ntyp = 2
/
ATOMIC_SPECIES
Sb 121.76 Sb.upf
Br 79.90 Br.upf
ATOMIC_POSITIONS crystal
Sb 0.000 0.000 0.000
Sb 0.254 0.254 0.679
Sb 0.517 0.517 0.777
Sb 0.737 0.737 0.447
Br 0.238 0.238 0.104
Br 0.966 0.966 0.425
CELL_PARAMETERS angstrom
5.592 -2.042 0.000
5.592 2.042 0.000
-2.028 0.000 8.652
! - SG: Cm, No. 8
! - Magnetization: 0.000 μB/atom

***

Model x:
! Sb2Br meta-GGA SCAN PBEsol geometry; values from VASP
&SYSTEM
  ibrav = 0, nat = 6, ntyp = 2
/
ATOMIC_SPECIES
Sb 121.76 Sb.upf
Br 79.90 Br.upf
ATOMIC_POSITIONS crystal
Sb 0.021 0.979 0.750
Sb 0.353 0.647 0.250
Sb 0.647 0.353 0.750
Sb 0.979 0.021 0.250
Br 0.327 0.673 0.750
Br 0.673 0.327 0.250
CELL_PARAMETERS angstrom
2.067 -7.989 0.000
2.067 7.989 0.000
0.000 0.000 5.758
! - SG: Cmcm, No. 63
! - Magnetization: 0.000 μB/atom

***

The relative energies come out as model w 1.8; model x 0.0, with values in kJ/mol of atoms.

***

Model w:
! KLaSb2 meta-GGA SCAN PBEsol geometry; values from VASP
&SYSTEM
  ibrav = 0, nat = 4, ntyp = 3
/
ATOMIC_SPECIES
K 39.10 K.upf
La 138.91 La.upf
Sb 121.76 Sb.upf
ATOMIC_POSITIONS crystal
K 0.000 0.000 0.000
La 0.500 0.500 0.000
Sb 0.000 0.500 0.500
Sb 0.500 0.000 0.500
CELL_PARAMETERS angstrom
5.181 0.000 0.000
0.000 5.181 0.000
0.000 0.000 4.441
! - SG: P4/mmm, No. 123
! - Magnetization: 0.000 μB/atom

***

Model x:
! KLaSb2 meta-GGA SCAN PBEsol geometry; values from VASP
&SYSTEM
  ibrav = 0, nat = 4, ntyp = 3
/
ATOMIC_SPECIES
K 39.10 K.upf
La 138.91 La.upf
Sb 121.76 Sb.upf
ATOMIC_POSITIONS crystal
K 0.000 0.000 0.000
La 0.000 0.000 0.500
Sb 0.500 0.500 0.303
Sb 0.500 0.500 0.697
CELL_PARAMETERS angstrom
4.261 0.000 0.000
0.000 4.261 0.000
0.000 0.000 7.332
! - SG: P4/mmm, No. 123
! - Magnetization: 0.000 μB/atom

***

The relative energies come out as model w 11.6; model x 0.0, with values in kJ/mol of atoms.

***

Model w:
! ZnHg3 meta-GGA SCAN PBEsol geometry; values from VASP
&SYSTEM
  ibrav = 0, nat = 16, ntyp = 2
/
ATOMIC_SPECIES
Zn 65.41 Zn.upf
Hg 200.59 Hg.upf
ATOMIC_POSITIONS crystal
Zn 0.132 0.250 0.062
Zn 0.368 0.750 0.562
Zn 0.632 0.250 0.438
Zn 0.868 0.750 0.938
Hg 0.004 0.750 0.362
Hg 0.205 0.552 0.868
Hg 0.205 0.948 0.868
Hg 0.295 0.052 0.368
Hg 0.295 0.448 0.368
Hg 0.496 0.250 0.862
Hg 0.504 0.750 0.138
Hg 0.705 0.552 0.632
Hg 0.705 0.948 0.632
Hg 0.795 0.052 0.132
Hg 0.795 0.448 0.132
Hg 0.996 0.250 0.638
CELL_PARAMETERS angstrom
6.796 0.000 0.000
0.000 7.896 0.000
0.000 0.000 6.419
! - SG: Pnma, No. 62
! - Magnetization: 0.000 μB/atom

***

Model x:
! ZnHg3 meta-GGA SCAN PBEsol geometry; values from VASP
&SYSTEM
  ibrav = 0, nat = 4, ntyp = 2
/
ATOMIC_SPECIES
Zn 65.41 Zn.upf
Hg 200.59 Hg.upf
ATOMIC_POSITIONS crystal
Zn 0.000 0.000 0.000
Hg 0.257 0.257 0.257
Hg 0.500 0.500 0.500
Hg 0.743 0.743 0.743
CELL_PARAMETERS angstrom
1.691 0.976 8.546
-1.691 0.976 8.546
0.000 -1.953 8.546
! - SG: R-3m, No. 166
! - Magnetization: 0.000 μB/atom

***

The relative energies come out as model w 0.0; model x 0.9, with values in kJ/mol of atoms.

***

Model w:
! Mn2CoAu meta-GGA SCAN PBEsol geometry; values from VASP
&SYSTEM
  ibrav = 0, nat = 4, ntyp = 3
/
ATOMIC_SPECIES
Mn 54.94 Mn.upf
Co 58.93 Co.upf
Au 196.97 Au.upf
ATOMIC_POSITIONS crystal
Mn 0.000 0.000 0.000
Mn 0.500 0.500 0.219
Co 0.500 0.500 0.802
Au 0.000 0.000 0.512
CELL_PARAMETERS angstrom
2.964 0.000 0.000
0.000 2.964 0.000
0.000 0.000 5.644
! - SG: P4mm, No. 99
! - Magnetization: 1.106 μB/atom

***

Model x:
! Mn2CoAu meta-GGA SCAN PBEsol geometry; values from VASP
&SYSTEM
  ibrav = 0, nat = 4, ntyp = 3
/
ATOMIC_SPECIES
Mn 54.94 Mn.upf
Co 58.93 Co.upf
Au 196.97 Au.upf
ATOMIC_POSITIONS crystal
Mn 0.000 0.000 0.000
Mn 0.260 0.260 0.260
Co 0.743 0.743 0.743
Au 0.500 0.500 0.500
CELL_PARAMETERS angstrom
1.319 0.762 8.278
-1.319 0.762 8.278
0.000 -1.523 8.278
! - SG: R3m, No. 160
! - Magnetization: 0.414 μB/atom

***

The relative energies come out as model w 0.0; model x 6.6, with values in kJ/mol of atoms.

***

Model w:
! InOsCl2 meta-GGA SCAN PBEsol geometry; values from VASP
&SYSTEM
  ibrav = 0, nat = 4, ntyp = 3
/
ATOMIC_SPECIES
In 114.82 In.upf
Os 190.23 Os.upf
Cl 35.45 Cl.upf
ATOMIC_POSITIONS crystal
In 0.000 0.000 0.000
Os 0.500 0.000 0.500
Cl 0.000 0.500 0.500
Cl 0.500 0.500 0.000
CELL_PARAMETERS angstrom
2.953 0.000 0.000
0.000 4.430 0.000
0.000 0.000 5.329
! - SG: Pmmm, No. 47
! - Magnetization: 0.163 μB/atom

***

Model x:
! InOsCl2 meta-GGA SCAN PBEsol geometry; values from VASP
&SYSTEM
  ibrav = 0, nat = 4, ntyp = 3
/
ATOMIC_SPECIES
In 114.82 In.upf
Os 190.23 Os.upf
Cl 35.45 Cl.upf
ATOMIC_POSITIONS crystal
In 0.000 0.000 0.000
Os 0.500 0.500 0.866
Cl 0.000 0.000 0.291
Cl 0.500 0.500 0.610
CELL_PARAMETERS angstrom
2.799 0.000 0.000
0.000 4.153 0.000
0.000 0.000 8.505
! - SG: Pmm2, No. 25
! - Magnetization: 0.000 μB/atom

***

The relative energies come out as model w 39.0; model x 0.0, with values in kJ/mol of atoms.

***

Model w:
! Li2CaCd meta-GGA SCAN PBEsol geometry; values from VASP
&SYSTEM
  ibrav = 0, nat = 4, ntyp = 3
/
ATOMIC_SPECIES
Li 6.94 Li.upf
Ca 40.08 Ca.upf
Cd 112.41 Cd.upf
ATOMIC_POSITIONS crystal
Li 0.000 0.000 0.000
Li 0.750 0.250 0.500
Ca 0.500 0.500 0.000
Cd 0.250 0.750 0.500
CELL_PARAMETERS angstrom
-2.256 2.256 4.552
2.256 -2.256 4.552
2.256 2.256 -4.552
! - SG: I-4m2, No. 119
! - Magnetization: 0.002 μB/atom

***

Model x:
! Li2CaCd meta-GGA SCAN PBEsol geometry; values from VASP
&SYSTEM
  ibrav = 0, nat = 4, ntyp = 3
/
ATOMIC_SPECIES
Li 6.94 Li.upf
Ca 40.08 Ca.upf
Cd 112.41 Cd.upf
ATOMIC_POSITIONS crystal
Li 0.197 0.000 0.291
Li 0.803 0.000 0.709
Ca 0.500 0.500 0.000
Cd 0.000 0.500 0.500
CELL_PARAMETERS angstrom
3.502 0.000 0.000
0.000 5.085 0.000
-0.576 0.000 5.480
! - SG: P2/m, No. 10
! - Magnetization: 0.014 μB/atom

***

The relative energies come out as model w 0.0; model x 5.2, with values in kJ/mol of atoms.

***

Model w:
! Al2CdAs meta-GGA SCAN PBEsol geometry; values from VASP
&SYSTEM
  ibrav = 0, nat = 4, ntyp = 3
/
ATOMIC_SPECIES
Al 26.98 Al.upf
Cd 112.41 Cd.upf
As 74.92 As.upf
ATOMIC_POSITIONS crystal
Al 0.250 0.250 0.250
Al 0.750 0.750 0.750
Cd 0.000 0.000 0.000
As 0.500 0.500 0.500
CELL_PARAMETERS angstrom
0.000 3.349 3.349
3.349 0.000 3.349
3.349 3.349 0.000
! - SG: Fm-3m, No. 225
! - Magnetization: 0.000 μB/atom

***

Model x:
! Al2CdAs meta-GGA SCAN PBEsol geometry; values from VASP
&SYSTEM
  ibrav = 0, nat = 4, ntyp = 3
/
ATOMIC_SPECIES
Al 26.98 Al.upf
Cd 112.41 Cd.upf
As 74.92 As.upf
ATOMIC_POSITIONS crystal
Al 0.000 0.000 0.000
Al 0.500 0.500 0.231
Cd 0.500 0.500 0.736
As 0.000 0.000 0.447
CELL_PARAMETERS angstrom
3.058 0.000 0.000
0.000 3.058 0.000
0.000 0.000 7.918
! - SG: P4mm, No. 99
! - Magnetization: 0.000 μB/atom

***

The relative energies come out as model w 10.0; model x 0.0, with values in kJ/mol of atoms.